1.
VASP calculation (PBE-GGA) on a relaxed La6Hg3Au crystal.

Cell and atoms, written as extended XYZ:
```
20
Lattice="9.2831 0.0000 0.0000 0.0000 12.4606 0.0000 0.0000 0.0000 5.4953" Properties=species:S:1:pos:R:3 pbc="T T T"
La 0.0494 3.0752 0.0000
La 1.4107 1.1092 2.7476
La 1.6425 5.1978 2.7476
La 2.9990 11.4281 0.0000
La 3.2308 7.3395 0.0000
La 4.5921 9.3055 2.7476
La 4.6910 3.1551 2.7476
La 6.0523 5.1211 0.0000
La 6.2841 1.0325 0.0000
La 7.6405 7.2628 2.7476
La 7.8724 11.3514 2.7476
La 9.2336 9.3854 0.0000
Hg 0.0000 6.2303 0.0000
Hg 1.4539 9.0374 2.7476
Hg 3.1876 2.8071 0.0000
Hg 4.6415 0.0000 2.7476
Hg 6.0955 9.6535 0.0000
Hg 7.8291 3.4232 2.7476
Au 0.0000 0.0000 0.0000
Au 4.6415 6.2303 2.7476
```

Summary:
magnetic moment = 0.00 μB/f.u.
ΔE_f = -3.97 eV per formula unit


2.
VASP calculation (PBE-GGA) on a relaxed Sc2RhC crystal.

Cell and atoms, written as extended XYZ:
```
4
Lattice="1.6484 0.9517 8.1097 -1.6484 0.9517 8.1097 0.0000 -1.9034 8.1097" Properties=species:S:1:pos:R:3 pbc="T T T"
Sc 0.0000 0.0000 2.1467
Sc 0.0000 0.0000 22.1825
Rh 0.0000 0.0000 12.1646
C 0.0000 0.0000 0.0000
```

Summary:
magnetic moment = 0.00 μB/f.u.
ΔE_f = 2.48 eV per formula unit


3.
VASP calculation (PBE-GGA) on a relaxed Ce2AlGe6Os crystal.

Cell and atoms, written as extended XYZ:
```
20
Lattice="3.1479 1.8174 12.0473 -3.1479 1.8174 12.0473 0.0000 -3.6349 12.0473" Properties=species:S:1:pos:R:3 pbc="T T T"
Ce 0.0000 0.0000 4.4892
Ce 0.0000 0.0000 10.6871
Ce 0.0000 0.0000 25.4548
Ce 0.0000 0.0000 31.6528
Al 0.0000 0.0000 0.0000
Al 0.0000 0.0000 18.0710
Ge -1.8988 -1.0963 16.6746
Ge 0.0000 -1.5753 13.5622
Ge -1.3642 0.7876 13.5622
Ge -1.3642 -0.7876 22.5798
Ge 0.0000 -2.1926 19.4673
Ge -1.8988 1.0963 19.4673
Ge 1.8988 -1.0963 16.6746
Ge 0.0000 2.1926 16.6746
Ge 1.3642 0.7876 13.5621
Ge 1.3642 -0.7876 22.5798
Ge 0.0000 1.5753 22.5798
Ge 1.8988 1.0963 19.4673
Os 0.0000 0.0000 15.5784
Os 0.0000 0.0000 20.5635
```

Summary:
magnetic moment = 1.09 μB/f.u.
ΔE_f = -2.67 eV per formula unit


4.
VASP calculation (PBE-GGA) on a relaxed LiTl2In9 crystal.

Cell and atoms, written as extended XYZ:
```
12
Lattice="4.5389 0.0000 0.0000 0.0000 4.5389 0.0000 0.0000 0.0000 15.5693" Properties=species:S:1:pos:R:3 pbc="T T T"
Li 0.0000 0.0000 0.0000
Tl 0.0000 0.0000 5.0674
Tl 0.0000 0.0000 10.5019
In 0.0000 2.2694 2.3606
In 0.0000 2.2694 7.7847
In 0.0000 2.2694 13.2088
In 2.2694 0.0000 2.3606
In 2.2694 0.0000 7.7847
In 2.2694 0.0000 13.2088
In 2.2694 2.2694 0.0000
In 2.2694 2.2694 5.0412
In 2.2694 2.2694 10.5282
```

Summary:
magnetic moment = 0.00 μB/f.u.
ΔE_f = -0.18 eV per formula unit


5.
VASP calculation (PBE-GGA) on a relaxed Cs4HoPa3O12 crystal.

Cell and atoms, written as extended XYZ:
```
20
Lattice="-4.4738 4.4738 4.4738 4.4738 -4.4738 4.4738 4.4738 4.4738 -4.4738" Properties=species:S:1:pos:R:3 pbc="T T T"
Cs 2.2369 2.2369 -2.2369
Cs 2.2369 -2.2369 2.2369
Cs -2.2369 2.2369 2.2369
Cs 2.2369 2.2369 2.2369
Ho 0.0000 0.0000 0.0000
Pa 4.4738 0.0000 0.0000
Pa 0.0000 4.4738 0.0000
Pa 0.0000 0.0000 4.4738
O 2.3465 0.0000 0.0000
O 6.6011 0.0000 0.0000
O 4.4738 2.2369 0.0000
O 4.4738 0.0000 2.2369
O 0.0000 2.3465 0.0000
O 0.0000 0.0000 2.3465
O 2.2369 4.4738 0.0000
O 2.2369 0.0000 4.4738
O 0.0000 6.6011 0.0000
O 0.0000 0.0000 6.6011
O 0.0000 4.4738 2.2369
O 0.0000 2.2369 4.4738
```

Summary:
magnetic moment = 1.76 μB/f.u.
uncorrected formation energy = -2784 meV per atom


6.
VASP calculation (PBE-GGA) on a relaxed SrWBr3 crystal.

Cell and atoms, written as extended XYZ:
```
5
Lattice="5.8855 0.0000 0.0000 0.0000 5.8855 0.0000 0.0000 0.0000 5.8855" Properties=species:S:1:pos:R:3 pbc="T T T"
Sr 0.0000 0.0000 0.0000
W 2.9427 2.9427 2.9427
Br 0.0000 0.0000 2.9427
Br 0.0000 2.9427 0.0000
Br 2.9427 0.0000 0.0000
```

Summary:
magnetic moment = 5.00 μB/f.u.
uncorrected formation energy = 215 meV per atom
excess energy over the best structure of this formula in the dataset = 323 meV per atom